Entry 1:
# Tb2SmY6Ho

An optimized crystal structure of Tb2SmY6Ho (PBE-GGA, Alexandria).

Cell lengths 9.647, 8.788, 8.788 Å; angles 117.57, 94.32, 94.32 degrees
Sites, in units of the cell vectors:
Tb: 0.454 0.803 0.701
Tb: 0.046 0.299 0.197
Tb: 0.546 0.197 0.299
Tb: 0.954 0.701 0.803
Sm: 0.250 0.977 0.023
Sm: 0.750 0.023 0.977
Y: 0.057 0.122 0.750
Y: 0.443 0.250 0.878
Y: 0.943 0.878 0.250
Y: 0.557 0.750 0.122
Y: 0.316 0.983 0.431
Y: 0.184 0.569 0.017
Y: 0.684 0.017 0.569
Y: 0.816 0.431 0.983
Y: 0.118 0.706 0.493
Y: 0.382 0.507 0.294
Y: 0.882 0.294 0.507
Y: 0.618 0.493 0.706
Ho: 0.250 0.409 0.591
Ho: 0.750 0.591 0.409


Entry 2:
# Tb5SmYHo2

An optimized crystal structure of Tb5SmYHo2 (PBE-GGA, Alexandria).

Cell lengths 5.610, 10.390, 10.574 Å; angles 90.00, 90.00, 105.66 degrees
Sites, in units of the cell vectors:
Tb: 0.392 0.784 0.025
Tb: 0.719 0.439 0.808
Tb: 0.478 0.957 0.739
Tb: 0.300 0.600 0.707
Tb: 0.983 0.966 0.525
Tb: 0.608 0.216 0.525
Tb: 0.281 0.561 0.308
Tb: 0.522 0.043 0.239
Tb: 0.700 0.400 0.207
Tb: 0.017 0.034 0.025
Sm: 0.800 0.599 0.511
Sm: 0.200 0.401 0.011
Y: 0.587 0.175 0.954
Y: 0.413 0.825 0.454
Ho: 0.886 0.772 0.818
Ho: 0.110 0.220 0.737
Ho: 0.114 0.228 0.318
Ho: 0.890 0.780 0.237


Entry 3:
# Tb3SmY2Ho6

An optimized crystal structure of Tb3SmY2Ho6 (PBE-GGA, Alexandria).

Cell lengths 6.144, 6.144, 11.763 Å; angles 94.97, 94.97, 119.95 degrees
Sites, in units of the cell vectors:
Tb: 0.167 0.833 0.500
Tb: 0.833 0.167 0.500
Tb: 0.500 0.500 0.500
Sm: 0.000 0.000 0.000
Y: 0.333 0.667 0.000
Y: 0.667 0.333 0.000
Ho: 0.916 0.583 0.749
Ho: 0.751 0.751 0.251
Ho: 0.084 0.417 0.251
Ho: 0.583 0.916 0.749
Ho: 0.249 0.249 0.749
Ho: 0.417 0.084 0.251


Entry 4:
# Tb3SmY6Ho2

An optimized crystal structure of Tb3SmY6Ho2 (PBE-GGA, Alexandria).

Cell lengths 6.172, 6.172, 11.814 Å; angles 94.97, 94.97, 119.95 degrees
Sites, in units of the cell vectors:
Tb: 0.167 0.833 0.500
Tb: 0.833 0.167 0.500
Tb: 0.500 0.500 0.500
Sm: 0.000 0.000 0.000
Y: 0.916 0.582 0.750
Y: 0.750 0.750 0.250
Y: 0.084 0.418 0.250
Y: 0.582 0.916 0.750
Y: 0.250 0.250 0.750
Y: 0.418 0.084 0.250
Ho: 0.333 0.667 0.000
Ho: 0.667 0.333 0.000


Entry 5:
# TbSmY6Ho2

An optimized crystal structure of TbSmY6Ho2 (PBE-GGA, Alexandria).

Cell lengths 9.603, 8.788, 8.788 Å; angles 117.38, 94.05, 94.05 degrees
Sites, in units of the cell vectors:
Tb: 0.250 0.409 0.591
Tb: 0.750 0.591 0.409
Sm: 0.250 0.975 0.025
Sm: 0.750 0.025 0.975
Y: 0.057 0.121 0.752
Y: 0.443 0.248 0.879
Y: 0.943 0.879 0.248
Y: 0.557 0.752 0.121
Y: 0.317 0.984 0.432
Y: 0.183 0.568 0.016
Y: 0.683 0.016 0.568
Y: 0.817 0.432 0.984
Y: 0.117 0.707 0.491
Y: 0.383 0.509 0.293
Y: 0.883 0.293 0.509
Y: 0.617 0.491 0.707
Ho: 0.453 0.803 0.701
Ho: 0.047 0.299 0.197
Ho: 0.547 0.197 0.299
Ho: 0.953 0.701 0.803


Entry 6:
# Tb2Sm2Y6Ho

An optimized crystal structure of Tb2Sm2Y6Ho (PBE-GGA, Alexandria).

Cell lengths 6.666, 6.666, 12.000 Å; angles 101.63, 101.63, 129.54 degrees
Sites, in units of the cell vectors:
Tb: 0.293 0.707 0.500
Tb: 0.707 0.293 0.500
Sm: 0.867 0.133 0.000
Sm: 0.133 0.867 0.000
Y: 0.704 0.704 0.704
Y: 0.142 0.446 0.794
Y: 0.296 0.296 0.296
Y: 0.446 0.142 0.794
Y: 0.858 0.554 0.206
Y: 0.554 0.858 0.206
Ho: 0.000 0.000 0.500


Entry 7:
# Tb6SmY2Ho3

An optimized crystal structure of Tb6SmY2Ho3 (PBE-GGA, Alexandria).

Cell lengths 6.161, 6.161, 11.796 Å; angles 94.96, 94.96, 119.94 degrees
Sites, in units of the cell vectors:
Tb: 0.915 0.582 0.748
Tb: 0.751 0.751 0.252
Tb: 0.085 0.418 0.252
Tb: 0.582 0.915 0.748
Tb: 0.249 0.249 0.748
Tb: 0.418 0.085 0.252
Sm: 0.000 0.000 0.000
Y: 0.333 0.667 0.000
Y: 0.667 0.333 0.000
Ho: 0.167 0.833 0.500
Ho: 0.833 0.167 0.500
Ho: 0.500 0.500 0.500


Entry 8:
# TbSm6Y2Ho3

An optimized crystal structure of TbSm6Y2Ho3 (PBE-GGA, Alexandria).

Cell lengths 6.222, 6.222, 11.832 Å; angles 95.01, 95.01, 119.98 degrees
Sites, in units of the cell vectors:
Tb: 0.000 0.000 0.000
Sm: 0.916 0.583 0.748
Sm: 0.751 0.751 0.251
Sm: 0.084 0.417 0.252
Sm: 0.583 0.916 0.748
Sm: 0.249 0.249 0.749
Sm: 0.417 0.084 0.252
Y: 0.333 0.667 0.000
Y: 0.667 0.333 0.000
Ho: 0.167 0.833 0.500
Ho: 0.833 0.167 0.500
Ho: 0.500 0.500 0.500


Entry 9:
# Tb5Sm2YHo

An optimized crystal structure of Tb5Sm2YHo (PBE-GGA, Alexandria).

Cell lengths 8.626, 8.626, 9.969 Å; angles 115.64, 115.64, 90.00 degrees
Sites, in units of the cell vectors:
Tb: 0.929 0.429 0.279
Tb: 0.649 0.149 0.721
Tb: 0.071 0.571 0.721
Tb: 0.149 0.071 0.721
Tb: 0.571 0.649 0.721
Tb: 0.851 0.929 0.279
Tb: 0.429 0.351 0.279
Tb: 0.351 0.851 0.279
Tb: 0.500 0.500 0.000
Tb: 0.000 0.000 0.000
Sm: 0.118 0.382 0.000
Sm: 0.618 0.118 0.000
Sm: 0.382 0.882 0.000
Sm: 0.882 0.618 0.000
Y: 0.250 0.250 0.500
Y: 0.750 0.750 0.500
Ho: 0.250 0.750 0.500
Ho: 0.750 0.250 0.500


Entry 10:
# TbSmY5Ho2

An optimized crystal structure of TbSmY5Ho2 (PBE-GGA, Alexandria).

Cell lengths 5.626, 10.436, 10.516 Å; angles 90.00, 90.00, 105.64 degrees
Sites, in units of the cell vectors:
Tb: 0.587 0.173 0.950
Tb: 0.413 0.827 0.450
Sm: 0.803 0.606 0.514
Sm: 0.197 0.394 0.014
Y: 0.388 0.776 0.024
Y: 0.722 0.443 0.815
Y: 0.479 0.957 0.737
Y: 0.301 0.601 0.706
Y: 0.983 0.967 0.523
Y: 0.612 0.224 0.524
Y: 0.278 0.557 0.315
Y: 0.521 0.043 0.237
Y: 0.699 0.399 0.206
Y: 0.017 0.033 0.023
Ho: 0.887 0.775 0.819
Ho: 0.111 0.222 0.736
Ho: 0.113 0.225 0.319
Ho: 0.889 0.778 0.236


Entry 11:
# Tb6SmY3Ho2

An optimized crystal structure of Tb6SmY3Ho2 (PBE-GGA, Alexandria).

Cell lengths 6.168, 6.168, 11.811 Å; angles 94.97, 94.97, 119.96 degrees
Sites, in units of the cell vectors:
Tb: 0.917 0.583 0.750
Tb: 0.750 0.750 0.249
Tb: 0.083 0.417 0.250
Tb: 0.583 0.917 0.750
Tb: 0.250 0.250 0.751
Tb: 0.417 0.083 0.250
Sm: 0.000 0.000 0.000
Y: 0.167 0.833 0.500
Y: 0.833 0.167 0.500
Y: 0.500 0.500 0.500
Ho: 0.333 0.667 0.000
Ho: 0.667 0.333 0.000


Entry 12:
# Tb2Sm6YHo3

An optimized crystal structure of Tb2Sm6YHo3 (PBE-GGA, Alexandria).

Cell lengths 6.219, 6.219, 11.837 Å; angles 95.01, 95.01, 119.98 degrees
Sites, in units of the cell vectors:
Tb: 0.333 0.667 0.000
Tb: 0.667 0.333 0.000
Sm: 0.916 0.582 0.749
Sm: 0.750 0.750 0.251
Sm: 0.084 0.418 0.251
Sm: 0.582 0.916 0.749
Sm: 0.250 0.250 0.749
Sm: 0.418 0.084 0.251
Y: 0.000 0.000 0.000
Ho: 0.167 0.833 0.500
Ho: 0.833 0.167 0.500
Ho: 0.500 0.500 0.500


Entry 13:
# TbSm2YHo2

An optimized crystal structure of TbSm2YHo2 (PBE-GGA, Alexandria).

Cell lengths 6.799, 8.926, 6.511 Å; angles 97.33, 90.00, 90.00 degrees
Sites, in units of the cell vectors:
Tb: 0.250 0.479 0.070
Tb: 0.750 0.521 0.930
Sm: 0.250 0.155 0.678
Sm: 0.250 0.524 0.583
Sm: 0.750 0.845 0.322
Sm: 0.750 0.476 0.417
Y: 0.750 0.161 0.691
Y: 0.250 0.839 0.309
Ho: 0.497 0.162 0.182
Ho: 0.003 0.162 0.182
Ho: 0.997 0.838 0.818
Ho: 0.503 0.838 0.818


Entry 14:
# TbSm2YHo6

An optimized crystal structure of TbSm2YHo6 (PBE-GGA, Alexandria).

Cell lengths 9.626, 8.770, 8.770 Å; angles 118.34, 94.37, 94.37 degrees
Sites, in units of the cell vectors:
Tb: 0.250 0.408 0.592
Tb: 0.750 0.592 0.408
Sm: 0.457 0.807 0.700
Sm: 0.043 0.300 0.193
Sm: 0.543 0.193 0.300
Sm: 0.957 0.700 0.807
Y: 0.250 0.980 0.020
Y: 0.750 0.020 0.980
Ho: 0.057 0.126 0.746
Ho: 0.443 0.254 0.874
Ho: 0.943 0.874 0.254
Ho: 0.557 0.746 0.126
Ho: 0.314 0.977 0.425
Ho: 0.186 0.575 0.023
Ho: 0.686 0.023 0.575
Ho: 0.814 0.425 0.977
Ho: 0.120 0.710 0.499
Ho: 0.380 0.501 0.290
Ho: 0.880 0.290 0.501
Ho: 0.620 0.499 0.710


Entry 15:
# Tb2SmYHo5

An optimized crystal structure of Tb2SmYHo5 (PBE-GGA, Alexandria).

Cell lengths 8.855, 8.855, 9.703 Å; angles 117.15, 117.15, 90.00 degrees
Sites, in units of the cell vectors:
Tb: 0.113 0.387 0.000
Tb: 0.613 0.113 0.000
Tb: 0.387 0.887 0.000
Tb: 0.887 0.613 0.000
Sm: 0.250 0.250 0.500
Sm: 0.750 0.750 0.500
Y: 0.250 0.750 0.500
Y: 0.750 0.250 0.500
Ho: 0.927 0.427 0.267
Ho: 0.660 0.160 0.733
Ho: 0.073 0.573 0.733
Ho: 0.160 0.073 0.733
Ho: 0.573 0.660 0.733
Ho: 0.840 0.927 0.267
Ho: 0.427 0.340 0.267
Ho: 0.340 0.840 0.267
Ho: 0.500 0.500 0.000
Ho: 0.000 0.000 0.000


Entry 16:
# Tb5SmY2Ho

An optimized crystal structure of Tb5SmY2Ho (PBE-GGA, Alexandria).

Cell lengths 5.634, 10.320, 10.593 Å; angles 90.00, 90.00, 105.84 degrees
Sites, in units of the cell vectors:
Tb: 0.390 0.779 0.023
Tb: 0.718 0.435 0.811
Tb: 0.479 0.959 0.739
Tb: 0.298 0.597 0.707
Tb: 0.981 0.962 0.524
Tb: 0.610 0.221 0.523
Tb: 0.282 0.565 0.311
Tb: 0.521 0.041 0.239
Tb: 0.702 0.403 0.207
Tb: 0.019 0.038 0.024
Sm: 0.585 0.170 0.955
Sm: 0.415 0.830 0.455
Y: 0.886 0.771 0.820
Y: 0.111 0.221 0.735
Y: 0.114 0.229 0.320
Y: 0.889 0.779 0.235
Ho: 0.799 0.598 0.511
Ho: 0.201 0.402 0.011


Entry 17:
# TbSm2Y2Ho4

An optimized crystal structure of TbSm2Y2Ho4 (PBE-GGA, Alexandria).

Cell lengths 3.593, 9.499, 9.549 Å; angles 115.25, 90.00, 100.90 degrees
Sites, in units of the cell vectors:
Tb: 0.000 0.000 0.000
Sm: 0.334 0.668 0.999
Sm: 0.666 0.332 0.001
Y: 0.853 0.706 0.336
Y: 0.147 0.294 0.664
Ho: 0.815 0.629 0.664
Ho: 0.185 0.371 0.336
Ho: 0.519 0.038 0.334
Ho: 0.481 0.962 0.666


Entry 18:
# TbSm2Y6Ho

An optimized crystal structure of TbSm2Y6Ho (PBE-GGA, Alexandria).

Cell lengths 9.730, 8.787, 8.787 Å; angles 117.78, 94.80, 94.80 degrees
Sites, in units of the cell vectors:
Tb: 0.250 0.980 0.020
Tb: 0.750 0.020 0.980
Sm: 0.456 0.806 0.705
Sm: 0.044 0.295 0.194
Sm: 0.544 0.194 0.295
Sm: 0.956 0.705 0.806
Y: 0.057 0.123 0.748
Y: 0.443 0.252 0.877
Y: 0.943 0.877 0.252
Y: 0.557 0.748 0.123
Y: 0.315 0.982 0.426
Y: 0.185 0.574 0.018
Y: 0.685 0.018 0.574
Y: 0.815 0.426 0.982
Y: 0.119 0.706 0.496
Y: 0.381 0.504 0.294
Y: 0.881 0.294 0.504
Y: 0.619 0.496 0.706
Ho: 0.250 0.407 0.593
Ho: 0.750 0.593 0.407


Number 1: energy of formation 116.9 meV/atom, size of the total moment 0.0 μB/cell. Number 2: energy of formation 158.2 meV/atom, size of the total moment 0.0 μB/cell. Number 3: energy of formation 18.2 meV/atom, size of the total moment 0.0 μB/cell. Number 4: energy of formation 19.2 meV/atom, size of the total moment 0.0 μB/cell. Number 5: energy of formation 119.6 meV/atom, size of the total moment 0.0 μB/cell. Number 6: energy of formation 143.3 meV/atom, size of the total moment 0.0 μB/cell. Number 7: energy of formation 16.4 meV/atom, size of the total moment 0.0 μB/cell. Number 8: energy of formation 13.8 meV/atom, size of the total moment 0.0 μB/cell. Number 9: energy of formation 279.8 meV/atom, size of the total moment 0.0 μB/cell. Number 10: energy of formation 156.0 meV/atom, size of the total moment 0.0 μB/cell. Number 11: energy of formation 16.7 meV/atom, size of the total moment 0.0 μB/cell. Number 12: energy of formation 13.7 meV/atom, size of the total moment 0.0 μB/cell. Number 13: energy of formation 140.8 meV/atom, size of the total moment 0.0 μB/cell. Number 14: energy of formation 116.9 meV/atom, size of the total moment 0.0 μB/cell. Number 15: energy of formation 289.5 meV/atom, size of the total moment 0.0 μB/cell. Number 16: energy of formation 151.7 meV/atom, size of the total moment 0.0 μB/cell. Number 17: energy of formation -3.5 meV/atom, size of the total moment 0.0 μB/cell. Number 18: energy of formation 114.0 meV/atom, size of the total moment 0.0 μB/cell.